Record 1
VASP calculation (GGA-PBE) on crystalline RbLa3Ga at its relaxed geometry.

The structure in CIF format:
```
data_RbLa3Ga
_chemical_formula_sum 'Rb1 La3 Ga1'
_symmetry_space_group_name_H-M 'P m -3 m'
_symmetry_Int_Tables_number 221
_symmetry_space_group_name_Hall '-P 4 2 3'
_cell_length_a 5.7358
_cell_length_b 5.7358
_cell_length_c 5.7358
_cell_angle_alpha 90.00
_cell_angle_beta 90.00
_cell_angle_gamma 90.00
loop_
_atom_site_label
_atom_site_type_symbol
_atom_site_fract_x
_atom_site_fract_y
_atom_site_fract_z
_atom_site_occupancy
Rb1 Rb 0.0000 0.0000 0.0000 1
La1 La 0.0000 0.0000 0.5000 1
Ga1 Ga 0.5000 0.5000 0.5000 1
```

**Size of the total moment**: 0.0 μB per formula unit
**Energy above the lowest structure with this stoichiometry**: 881 meV/atom

---

Record 2
VASP calculation (GGA-PBE) on crystalline YHg2F at its relaxed geometry.

The structure in CIF format:
```
data_YHg2F
_chemical_formula_sum 'Y4 Hg8 F4'
_symmetry_space_group_name_H-M 'I -4 2 d'
_symmetry_Int_Tables_number 122
_symmetry_space_group_name_Hall 'I -4 2bw'
_cell_length_a 9.9391
_cell_length_b 9.9391
_cell_length_c 4.3319
_cell_angle_alpha 90.00
_cell_angle_beta 90.00
_cell_angle_gamma 90.00
loop_
_atom_site_label
_atom_site_type_symbol
_atom_site_fract_x
_atom_site_fract_y
_atom_site_fract_z
_atom_site_occupancy
Y1 Y 0.0000 0.0000 0.0000 1
Hg1 Hg 0.1516 0.2500 0.6250 1
F1 F 0.0000 0.0000 0.5000 1
```

**Size of the total moment**: 0.0 μB per formula unit
**Energy above the lowest structure with this stoichiometry**: 0 meV/atom

---

Record 3
VASP calculation (GGA-PBE) on crystalline ZrB3Pd at its relaxed geometry.

The structure in CIF format:
```
data_ZrB3Pd
_chemical_formula_sum 'Zr1 B3 Pd1'
_symmetry_space_group_name_H-M 'P m -3 m'
_symmetry_Int_Tables_number 221
_symmetry_space_group_name_Hall '-P 4 2 3'
_cell_length_a 4.0441
_cell_length_b 4.0441
_cell_length_c 4.0441
_cell_angle_alpha 90.00
_cell_angle_beta 90.00
_cell_angle_gamma 90.00
loop_
_atom_site_label
_atom_site_type_symbol
_atom_site_fract_x
_atom_site_fract_y
_atom_site_fract_z
_atom_site_occupancy
Zr1 Zr 0.0000 0.0000 0.0000 1
B1 B 0.0000 0.5000 0.5000 1
Pd1 Pd 0.5000 0.5000 0.5000 1
```

**Size of the total moment**: 0.0 μB per formula unit
**Energy above the lowest structure with this stoichiometry**: 0 meV/atom

---

Record 4
VASP calculation (GGA-PBE) on crystalline AgTeOsO6 at its relaxed geometry.

The structure in CIF format:
```
data_AgTeOsO6
_chemical_formula_sum 'Ag2 Te2 Os2 O12'
_symmetry_space_group_name_H-M 'P -3 1 c'
_symmetry_Int_Tables_number 163
_symmetry_space_group_name_Hall '-P 3 2c'
_cell_length_a 5.3569
_cell_length_b 5.3569
_cell_length_c 9.9435
_cell_angle_alpha 90.00
_cell_angle_beta 90.00
_cell_angle_gamma 120.00
loop_
_atom_site_label
_atom_site_type_symbol
_atom_site_fract_x
_atom_site_fract_y
_atom_site_fract_z
_atom_site_occupancy
Ag1 Ag 0.0000 0.0000 0.0000 1
Te1 Te 0.3333 0.6667 0.2500 1
Os1 Os 0.3333 0.6667 0.7500 1
O1 O 0.0147 0.3808 0.6412 1
```

**Size of the total moment**: 1.0 μB per formula unit
**Energy**: -6.00 eV/atom

---

Record 5
VASP calculation (GGA-PBE) on crystalline Tb4CoBr5 at its relaxed geometry.

The structure in CIF format:
```
data_Tb4CoBr5
_chemical_formula_sum 'Tb8 Co2 Br10'
_symmetry_space_group_name_H-M 'C 1 2/m 1'
_symmetry_Int_Tables_number 12
_cell_length_a 20.9209
_cell_length_b 3.9083
_cell_length_c 8.4268
_cell_angle_alpha 90.00
_cell_angle_beta 90.42
_cell_angle_gamma 90.00
loop_
_symmetry_equiv_pos_as_xyz
'x,y,z'
'-x,-y,-z'
'-x,y,-z'
'x,-y,z'
'x+1/2,y+1/2,z'
'-x+1/2,-y+1/2,-z'
'-x+1/2,y+1/2,-z'
'x+1/2,-y+1/2,z'
loop_
_atom_site_label
_atom_site_type_symbol
_atom_site_fract_x
_atom_site_fract_y
_atom_site_fract_z
_atom_site_occupancy
Tb1 Tb 0.0000 0.0000 0.2093 1
Tb2 Tb 0.1263 0.5000 0.0023 1
Co1 Co 0.0000 0.5000 0.0000 1
Br1 Br 0.0000 0.5000 0.5000 1
Br2 Br 0.1522 0.0000 0.2476 1
Br3 Br 0.1526 0.0000 0.7581 1
```

**Size of the total moment**: 0.0 μB per formula unit
**Energy above the lowest structure with this stoichiometry**: 26 meV/atom

---

Record 6
VASP calculation (GGA-PBE) on crystalline SrMg2Re at its relaxed geometry.

The structure in CIF format:
```
data_SrMg2Re
_chemical_formula_sum 'Sr1 Mg2 Re1'
_symmetry_space_group_name_H-M 'P m m m'
_symmetry_Int_Tables_number 47
_cell_length_a 3.0268
_cell_length_b 4.1123
_cell_length_c 7.1878
_cell_angle_alpha 90.00
_cell_angle_beta 90.00
_cell_angle_gamma 90.00
loop_
_symmetry_equiv_pos_as_xyz
'x,y,z'
'-x,-y,-z'
'-x,-y,z'
'x,y,-z'
'x,-y,-z'
'-x,y,z'
'-x,y,-z'
'x,-y,z'
loop_
_atom_site_label
_atom_site_type_symbol
_atom_site_fract_x
_atom_site_fract_y
_atom_site_fract_z
_atom_site_occupancy
Sr1 Sr 0.0000 0.0000 0.0000 1
Mg1 Mg 0.5000 0.5000 0.3118 1
Re1 Re 0.0000 0.0000 0.5000 1
```

**Size of the total moment**: 0.0 μB per formula unit
**Energy above the lowest structure with this stoichiometry**: 0 meV/atom

---

Record 7
VASP calculation (GGA-PBE) on crystalline Pu2BeGe at its relaxed geometry.

The structure in CIF format:
```
data_Pu2BeGe
_chemical_formula_sum 'Pu2 Be1 Ge1'
_symmetry_space_group_name_H-M 'P 4/m m m'
_symmetry_Int_Tables_number 123
_symmetry_space_group_name_Hall '-P 4 2'
_cell_length_a 3.5473
_cell_length_b 3.5473
_cell_length_c 4.7497
_cell_angle_alpha 90.00
_cell_angle_beta 90.00
_cell_angle_gamma 90.00
loop_
_atom_site_label
_atom_site_type_symbol
_atom_site_fract_x
_atom_site_fract_y
_atom_site_fract_z
_atom_site_occupancy
Pu1 Pu 0.0000 0.5000 0.0000 1
Be1 Be 0.0000 0.0000 0.5000 1
Ge1 Ge 0.5000 0.5000 0.5000 1
```

**Size of the total moment**: 0.3 μB per formula unit
**Energy above the lowest structure with this stoichiometry**: 197 meV/atom

---

Record 8
VASP calculation (GGA-PBE) on crystalline MnAuSe2 at its relaxed geometry.

The structure in CIF format:
```
data_MnAuSe2
_chemical_formula_sum 'Mn2 Au2 Se4'
_symmetry_space_group_name_H-M 'P -1'
_symmetry_Int_Tables_number 2
_cell_length_a 3.3483
_cell_length_b 7.8427
_cell_length_c 9.1272
_cell_angle_alpha 112.09
_cell_angle_beta 100.23
_cell_angle_gamma 91.63
loop_
_symmetry_equiv_pos_as_xyz
'x,y,z'
'-x,-y,-z'
loop_
_atom_site_label
_atom_site_type_symbol
_atom_site_fract_x
_atom_site_fract_y
_atom_site_fract_z
_atom_site_occupancy
Mn1 Mn 0.1898 0.3924 0.3906 1
Au1 Au 0.5000 0.0000 0.0000 1
Au2 Au 0.5000 0.5000 0.0000 1
Se1 Se 0.2550 0.7195 0.4794 1
Se2 Se 0.4175 0.6725 0.8238 1
```

**Size of the total moment**: 2.0 μB per formula unit
**Energy**: -5.07 eV/atom

---

Record 9
VASP calculation (GGA-PBE) on crystalline Mn3P at its relaxed geometry.

The structure in CIF format:
```
data_Mn3P
_chemical_formula_sum 'Mn12 P4'
_symmetry_space_group_name_H-M 'C m c m'
_symmetry_Int_Tables_number 63
_symmetry_space_group_name_Hall '-C 2c 2'
_cell_length_a 3.2883
_cell_length_b 8.2932
_cell_length_c 6.6774
_cell_angle_alpha 90.00
_cell_angle_beta 90.00
_cell_angle_gamma 90.00
loop_
_atom_site_label
_atom_site_type_symbol
_atom_site_fract_x
_atom_site_fract_y
_atom_site_fract_z
_atom_site_occupancy
Mn1 Mn 0.0000 0.0590 0.2500 1
Mn2 Mn 0.0000 0.3680 0.0515 1
P1 P 0.0000 0.2315 0.7500 1
```

**Size of the total moment**: 3.5 μB per formula unit
**Energy**: -8.55 eV/atom

---

Record 10
VASP calculation (GGA-PBE) on crystalline RbLiSO4 at its relaxed geometry.

The structure in CIF format:
```
data_RbLiSO4
_chemical_formula_sum 'Rb4 Li4 S4 O16'
_symmetry_space_group_name_H-M 'C m c m'
_symmetry_Int_Tables_number 63
_symmetry_space_group_name_Hall '-C 2c 2'
_cell_length_a 7.0407
_cell_length_b 9.9506
_cell_length_c 6.3948
_cell_angle_alpha 90.00
_cell_angle_beta 90.00
_cell_angle_gamma 90.00
loop_
_atom_site_label
_atom_site_type_symbol
_atom_site_fract_x
_atom_site_fract_y
_atom_site_fract_z
_atom_site_occupancy
Rb1 Rb 0.0000 0.0000 0.0000 1
Li1 Li 0.0000 0.3676 0.2500 1
S1 S 0.0000 0.3732 0.7500 1
O1 O 0.0000 0.2878 0.5581 1
O2 O 0.1701 0.4643 0.7500 1
```

**Size of the total moment**: 0.0 μB per formula unit
**Energy above the lowest structure with this stoichiometry**: 100 meV/atom

---

Record 11
VASP calculation (GGA-PBE) on crystalline LiPuMg2Au4 at its relaxed geometry.

The structure in CIF format:
```
data_LiPuMg2Au4
_chemical_formula_sum 'Li3 Pu3 Mg6 Au12'
_symmetry_space_group_name_H-M 'R -3 m'
_symmetry_Int_Tables_number 166
_symmetry_space_group_name_Hall '-R 3 2"'
_cell_length_a 4.6765
_cell_length_b 4.6765
_cell_length_c 25.0019
_cell_angle_alpha 90.00
_cell_angle_beta 90.00
_cell_angle_gamma 120.00
loop_
_atom_site_label
_atom_site_type_symbol
_atom_site_fract_x
_atom_site_fract_y
_atom_site_fract_z
_atom_site_occupancy
Li1 Li 0.0000 0.0000 0.0000 1
Pu1 Pu 0.0000 0.0000 0.5000 1
Mg1 Mg 0.0000 0.0000 0.2601 1
Au1 Au 0.0000 0.0000 0.1066 1
Au2 Au 0.0000 0.0000 0.3737 1
```

**Size of the total moment**: 5.6 μB per formula unit
**Energy**: -4.58 eV/atom

---

Record 12
VASP calculation (GGA-PBE) on crystalline Na2Cd12Ag at its relaxed geometry.

The structure in CIF format:
```
data_Na2Cd12Ag
_chemical_formula_sum 'Na4 Cd24 Ag2'
_symmetry_space_group_name_H-M 'P 4/n b m'
_symmetry_Int_Tables_number 125
_cell_length_a 6.1486
_cell_length_b 6.1486
_cell_length_c 20.0573
_cell_angle_alpha 90.00
_cell_angle_beta 90.00
_cell_angle_gamma 90.00
loop_
_symmetry_equiv_pos_as_xyz
'x,y,z'
'-x,-y,-z'
'-y+1/2,x,z'
'y+1/2,-x,-z'
'-x+1/2,-y+1/2,z'
'x+1/2,y+1/2,-z'
'y,-x+1/2,z'
'-y,x+1/2,-z'
'x,-y+1/2,-z'
'-x,y+1/2,z'
'-y+1/2,-x+1/2,-z'
'y+1/2,x+1/2,z'
'-x+1/2,y,-z'
'x+1/2,-y,z'
'y,x,-z'
'-y,-x,z'
loop_
_atom_site_label
_atom_site_type_symbol
_atom_site_fract_x
_atom_site_fract_y
_atom_site_fract_z
_atom_site_occupancy
Na1 Na 0.2500 0.7500 0.2372 1
Cd1 Cd 0.0000 0.0000 0.4066 1
Cd2 Cd 0.0776 0.5776 0.0658 1
Cd3 Cd 0.2500 0.2500 0.1640 1
Cd4 Cd 0.2500 0.2500 0.3033 1
Ag1 Ag 0.2500 0.7500 0.5000 1
```

**Size of the total moment**: 0.0 μB per formula unit
**Energy**: -1.10 eV/atom

---

Record 13
VASP calculation (GGA-PBE) on crystalline TbDy3Sc4 at its relaxed geometry.

The structure in CIF format:
```
data_TbDy3Sc4
_chemical_formula_sum 'Tb2 Dy6 Sc8'
_symmetry_space_group_name_H-M 'P m n 21'
_symmetry_Int_Tables_number 31
_cell_length_a 10.7862
_cell_length_b 6.9500
_cell_length_c 6.0121
_cell_angle_alpha 90.00
_cell_angle_beta 90.00
_cell_angle_gamma 90.00
loop_
_symmetry_equiv_pos_as_xyz
'x,y,z'
'-x+1/2,-y,z+1/2'
'-x,y,z'
'x+1/2,-y,z+1/2'
loop_
_atom_site_label
_atom_site_type_symbol
_atom_site_fract_x
_atom_site_fract_y
_atom_site_fract_z
_atom_site_occupancy
Tb1 Tb 0.0000 0.1340 0.0000 1
Dy1 Dy 0.0000 0.8661 0.4997 1
Dy2 Dy 0.2501 0.1341 0.3429 1
Sc1 Sc 0.0000 0.3837 0.5080 1
Sc2 Sc 0.0000 0.6165 0.0079 1
Sc3 Sc 0.2503 0.3835 0.8349 1
```

**Size of the total moment**: 0.0 μB per formula unit
**Energy**: -5.44 eV/atom

---

Record 14
VASP calculation (GGA-PBE) on crystalline SrZn5PdPt2 at its relaxed geometry.

The structure in CIF format:
```
data_SrZn5PdPt2
_chemical_formula_sum 'Sr1 Zn5 Pd1 Pt2'
_symmetry_space_group_name_H-M 'P 4/m m m'
_symmetry_Int_Tables_number 123
_symmetry_space_group_name_Hall '-P 4 2'
_cell_length_a 4.8907
_cell_length_b 4.8907
_cell_length_c 7.6147
_cell_angle_alpha 90.00
_cell_angle_beta 90.00
_cell_angle_gamma 90.00
loop_
_atom_site_label
_atom_site_type_symbol
_atom_site_fract_x
_atom_site_fract_y
_atom_site_fract_z
_atom_site_occupancy
Sr1 Sr 0.0000 0.0000 0.0000 1
Zn1 Zn 0.0000 0.5000 0.3283 1
Zn2 Zn 0.5000 0.5000 0.0000 1
Pd1 Pd 0.0000 0.0000 0.5000 1
Pt1 Pt 0.5000 0.5000 0.3125 1
```

**Size of the total moment**: 0.0 μB per formula unit
**Energy**: -3.14 eV/atom